1.
Entry from the Alexandria database: Tb2PmTm12 after structural relaxation (PBE-GGA).

Geometry as POSCAR:
```
Tb2PmTm12
1.0
-3.800 2.339 -4.934
4.686 -4.333 -1.877
-15.994 -14.989 11.688
Tm Pm Tb
24 2 4
Direct
0.935 0.435 0.149
0.435 0.935 0.149
0.597 0.597 0.677
0.097 0.097 0.677
0.084 0.084 0.068
0.718 0.218 0.574
0.782 0.282 0.426
0.303 0.303 0.443
0.416 0.416 0.932
0.065 0.565 0.851
0.565 0.065 0.851
0.903 0.903 0.323
0.509 0.509 0.806
0.991 0.991 0.194
0.916 0.916 0.932
0.009 0.009 0.806
0.282 0.782 0.426
0.697 0.697 0.557
0.197 0.197 0.557
0.218 0.718 0.574
0.584 0.584 0.068
0.491 0.491 0.194
0.803 0.803 0.443
0.403 0.403 0.323
0.500 0.000 0.000
0.000 0.500 0.000
0.857 0.357 0.286
0.144 0.644 0.714
0.356 0.856 0.286
0.643 0.143 0.714
```

Output
- space group = P2/m (10)
- DOS(E_F) (states/eV/atom) = 1.661
- DFT formation energy (eV per formula unit) = 1.077
- crystal system = monoclinic



2.
Entry from the Alexandria database: Tb19Er6Tm4 after structural relaxation (PBE-GGA).

Geometry as POSCAR:
```
Tb19Er6Tm4
1.0
10.115 0.000 -3.576
-5.058 8.760 -3.576
0.000 0.000 10.729
Tm Tb Er
4 19 6
Direct
0.357 0.357 0.357
0.000 0.000 0.643
0.000 0.643 0.000
0.643 0.000 0.000
0.341 0.016 0.801
0.540 0.199 0.215
0.325 0.785 0.984
0.262 0.262 0.000
0.675 0.659 0.460
0.199 0.215 0.540
0.659 0.460 0.675
0.738 0.000 0.738
0.215 0.540 0.199
0.000 0.262 0.262
0.738 0.738 0.000
0.801 0.341 0.016
0.785 0.984 0.325
0.262 0.000 0.262
0.000 0.738 0.738
0.016 0.801 0.341
0.000 0.000 0.000
0.984 0.325 0.785
0.460 0.675 0.659
0.500 0.873 0.373
0.127 0.627 0.500
0.373 0.500 0.873
0.500 0.127 0.627
0.627 0.500 0.127
0.873 0.373 0.500
```

Output
- space group = I23 (197)
- DOS(E_F) (states/eV/atom) = 1.568
- DFT formation energy (eV per formula unit) = 11.246
- crystal system = cubic



3.
Entry from the Alexandria database: Sr2PmRuO6 after structural relaxation (PBE-GGA).

Geometry as POSCAR:
```
Sr2PmRuO6
1.0
5.862 0.000 -0.048
0.000 5.979 0.000
-0.018 0.000 8.348
O Sr Ru Pm
12 4 2 2
Direct
0.914 0.528 0.229
0.086 0.472 0.771
0.414 0.972 0.729
0.813 0.771 0.951
0.271 0.692 0.044
0.313 0.729 0.451
0.771 0.808 0.544
0.229 0.192 0.456
0.586 0.028 0.271
0.687 0.271 0.549
0.729 0.308 0.956
0.187 0.229 0.049
0.512 0.543 0.750
0.488 0.457 0.250
0.988 0.043 0.750
0.012 0.957 0.250
0.000 0.500 0.000
0.500 0.000 0.500
0.000 0.500 0.500
0.500 0.000 0.000
```

Output
- total energy (eV per atom) = -7.09
- space group = P2_1/c (14)
- DOS(E_F) (states/eV/atom) = 0.043
- crystal system = monoclinic



4.
Entry from the Alexandria database: Li3Cd2Au6 after structural relaxation (PBE-GGA).

Geometry as POSCAR:
```
Li3Cd2Au6
1.0
3.841 0.000 0.000
0.000 3.841 0.000
-1.921 -1.921 14.363
Au Li Cd
6 3 2
Direct
0.931 0.431 0.861
0.431 0.931 0.861
0.569 0.069 0.139
0.069 0.569 0.139
0.779 0.779 0.559
0.221 0.221 0.441
0.000 0.000 0.000
0.132 0.132 0.265
0.868 0.868 0.735
0.322 0.322 0.644
0.678 0.678 0.356
```

Output
- space group = I4/mmm (139)
- DOS(E_F) (states/eV/atom) = 0.281
- DFT formation energy (eV per formula unit) = -2.474
- crystal system = tetragonal



- What is the formula in the second record?
  Tb19Er6Tm4



- DOS(E_F) of number 3 (Sr2PmRuO6)?
  0.043 states/eV/atom



- Look up the DOS(E_F) of the second one.
  1.568 states/eV/atom



- What is the formula in the fourth record?
  Li3Cd2Au6